Material: MgInSnPd
Method: DFT, PBE
State: optimized geometry

Computed properties:
**DOS(E_F)**: 1.90 states/eV/f.u.
**Offset from the most stable computed form**: 0.000 kcal/mol of atoms
**Energy of formation from the pure elements**: -344 meV per atom
**Total magnetic moment**: 0.0 μB per formula unit

Lattice parameters (Å, degrees): 4.4914 4.4914 5.4164 90.00 90.00 120.00
Space group P3m1 (No. 156)
One atom of each set of equivalent atoms:
Mg (0.0000, 0.0000, 0.0000) [1 per cell]
In (0.6667, 0.3333, 0.3416) [1 per cell]
Sn (0.3333, 0.6667, 0.6564) [1 per cell]
Pd (0.6667, 0.3333, 0.8480) [1 per cell]



Material: BaNa2NiSe
Method: DFT, PBE
State: optimized geometry

Computed properties:
**DOS(E_F)**: 0.18 states/eV/f.u.
**Total magnetic moment**: 0.0 μB per formula unit
**Formation energy (no corrections)**: -203 meV/atom

Lattice parameters (Å, degrees): 5.116 5.116 5.819 90.00 90.00 90.00
Space group P4/mmm (No. 123)
One atom of each set of equivalent atoms:
Ba (0.000, 0.000, 0.000) [1 per cell]
Na (0.000, 0.500, 0.500) [2 per cell]
Ni (0.000, 0.000, 0.500) [1 per cell]
Se (0.500, 0.500, 0.000) [1 per cell]